A plane-wave DFT calculation with PBE-GGA was carried out for crystalline Y2HPb2 at its relaxed geometry.

Cell: 7.1053 7.1053 5.0714 Å, 90.00 90.00 90.00°
Closest atoms and distances in Å follow each position.
Space group P4/mbm (No. 127)
Symmetry-distinct sites (fractional):
Y  0.1651  0.3349  0.0000 [4 per cell]  6 Pb 3.08-3.43, 1 Y 3.32
H  0.0000  0.0000  0.5000 [2 per cell]  4 Pb 2.67
Pb  0.1602  0.6602  0.5000 [4 per cell]  2 H 2.67

Properties
Energy above the most stable polymorph in this dataset in meV/atom: 475